Record 1
AlOs2Au, optimized geometry, DFT PBE-GGA; DFT formation energy = 257 meV per atom; symmetry = No. 44
1.0
-1.502 2.244 4.455
1.502 -2.244 4.455
1.502 2.244 -4.455
Al Os Au
1 2 1
Direct
0.000 0.000 0.000 Al
0.517 0.517 0.000 Os
0.766 0.266 0.500 Os
0.238 0.738 0.500 Au

---

Record 2
CaPRuS2, optimized geometry, DFT PBE-GGA; symmetry = No. 123; E above lowest polymorph = 0 meV per atom; ΔE_f (raw) = -361 meV per atom
1.0
4.927 0.000 0.000
0.000 4.927 0.000
0.000 0.000 4.347
Ca P Ru S
1 1 1 2
Direct
0.000 0.000 0.000 Ca
0.500 0.500 0.000 P
0.500 0.500 0.500 Ru
0.000 0.500 0.500 S
0.500 0.000 0.500 S

---

Record 3
Hf3ZnPb, optimized geometry, DFT PBE-GGA; DFT formation energy = 1439 meV per atom; symmetry = No. 221; E above lowest polymorph = 982 meV per atom
1.0
5.306 0.000 0.000
0.000 5.306 0.000
0.000 0.000 5.306
Hf Zn Pb
3 1 1
Direct
0.000 0.000 0.500 Hf
0.000 0.500 0.000 Hf
0.500 0.000 0.000 Hf
0.500 0.500 0.500 Zn
0.000 0.000 0.000 Pb

---

Record 4
MnPt2Se, optimized geometry, DFT PBE-GGA; symmetry = No. 123; ΔE_f (raw) = -91 meV per atom
1.0
3.414 0.000 0.000
0.000 3.414 0.000
0.000 0.000 5.537
Mn Pt Se
1 2 1
Direct
0.000 0.000 0.000 Mn
0.500 0.500 0.239 Pt
0.500 0.500 0.761 Pt
0.000 0.000 0.500 Se

---

Record 5
CsSrTa3, optimized geometry, DFT PBE-GGA; DFT formation energy = 2708 meV per atom; symmetry = No. 221; E above lowest polymorph = 0 meV per atom
1.0
5.186 0.000 0.000
0.000 5.186 0.000
0.000 0.000 5.186
Cs Sr Ta
1 1 3
Direct
0.000 0.000 0.000 Cs
0.500 0.500 0.500 Sr
0.000 0.000 0.500 Ta
0.000 0.500 0.000 Ta
0.500 0.000 0.000 Ta

---

Record 6
GaCuAg2O, optimized geometry, DFT PBE-GGA; symmetry = No. 123; ΔE_f (raw) = 761 meV per atom
1.0
4.789 0.000 0.000
0.000 4.789 0.000
0.000 0.000 4.509
Ga Cu Ag O
1 1 2 1
Direct
0.000 0.000 0.000 Ga
0.000 0.000 0.500 Cu
0.000 0.500 0.500 Ag
0.500 0.000 0.500 Ag
0.500 0.500 0.000 O

---

Record 7
BeC, optimized geometry, DFT PBE-GGA; DFT formation energy = 1061 meV per atom; symmetry = No. 12; E above lowest polymorph = 742 meV per atom
1.0
3.481 -1.486 0.000
3.481 1.486 0.000
-0.474 0.000 1.889
Be C
1 1
Direct
0.000 0.000 0.000 Be
0.500 0.500 0.500 C

---

Record 8
SrPr2ZrO6, optimized geometry, DFT PBE-GGA; symmetry = No. 146; ΔE_f (raw) = -3215 meV per atom
1.0
3.011 1.738 5.180
-3.011 1.738 5.180
0.000 -3.476 5.180
Sr Pr Zr O
1 2 1 6
Direct
0.000 0.000 0.000 Sr
0.272 0.272 0.272 Pr
0.776 0.776 0.776 Pr
0.488 0.488 0.488 Zr
0.120 0.657 0.400 O
0.219 0.589 0.841 O
0.400 0.120 0.657 O
0.589 0.841 0.219 O
0.657 0.400 0.120 O
0.841 0.219 0.589 O

---

Record 9
Ac4AgHg, optimized geometry, DFT PBE-GGA; DFT formation energy = -41 meV per atom; symmetry = No. 123; E above lowest polymorph = 185 meV per atom
1.0
5.531 0.000 0.000
0.000 5.531 0.000
0.000 0.000 7.865
Ac Ag Hg
4 1 1
Direct
0.000 0.500 0.246 Ac
0.000 0.500 0.754 Ac
0.500 0.000 0.246 Ac
0.500 0.000 0.754 Ac
0.000 0.000 0.000 Ag
0.500 0.500 0.500 Hg

---

Record 10
MgCdCl2, optimized geometry, DFT PBE-GGA; symmetry = No. 99; E above lowest polymorph = 330 meV per atom; ΔE_f (raw) = -935 meV per atom
1.0
3.536 0.000 0.000
0.000 3.536 0.000
0.000 0.000 9.698
Mg Cd Cl
1 1 2
Direct
0.000 0.000 0.000 Mg
0.500 0.500 0.501 Cd
0.000 0.000 0.773 Cl
0.500 0.500 0.089 Cl

---

Record 11
VCr2Ge, optimized geometry, DFT PBE-GGA; DFT formation energy = -104 meV per atom; symmetry = No. 123
1.0
4.081 0.000 0.000
0.000 4.081 0.000
0.000 0.000 3.112
V Cr Ge
1 2 1
Direct
0.000 0.000 0.000 V
0.000 0.500 0.500 Cr
0.500 0.000 0.500 Cr
0.500 0.500 0.000 Ge

---

Record 12
In5Pd8Au, optimized geometry, DFT PBE-GGA; DFT formation energy = -363 meV per atom; symmetry = No. 82
1.0
-3.994 3.994 4.033
3.994 -3.994 4.033
3.994 3.994 -4.033
In Pd Au
5 8 1
Direct
0.000 0.000 0.000 In
0.271 0.626 0.105 In
0.374 0.479 0.645 In
0.521 0.165 0.895 In
0.835 0.729 0.355 In
0.000 0.406 0.261 Pd
0.101 0.180 0.738 Pd
0.145 0.740 0.739 Pd
0.260 0.000 0.406 Pd
0.442 0.363 0.262 Pd
0.594 0.855 0.594 Pd
0.637 0.899 0.079 Pd
0.820 0.558 0.921 Pd
0.750 0.250 0.500 Au

---

Record 13
ScBiB3, optimized geometry, DFT PBE-GGA; DFT formation energy = 1717 meV per atom; symmetry = No. 221; E above lowest polymorph = 0 meV per atom
1.0
4.451 0.000 0.000
0.000 4.451 0.000
0.000 0.000 4.451
Sc Bi B
1 1 3
Direct
0.000 0.000 0.000 Sc
0.500 0.500 0.500 Bi
0.000 0.000 0.500 B
0.000 0.500 0.000 B
0.500 0.000 0.000 B

---

Record 14
Pu2ZnAu2, optimized geometry, DFT PBE-GGA; DFT formation energy = -342 meV per atom; symmetry = No. 12
1.0
5.258 -2.288 0.000
5.258 2.288 0.000
-2.963 0.000 9.181
Pu Zn Au
4 2 4
Direct
0.095 0.095 0.380 Pu
0.169 0.169 0.056 Pu
0.831 0.831 0.944 Pu
0.905 0.905 0.620 Pu
0.397 0.397 0.380 Zn
0.603 0.603 0.620 Zn
0.227 0.227 0.712 Au
0.488 0.488 0.145 Au
0.512 0.512 0.855 Au
0.773 0.773 0.288 Au

---

Record 15
AsPRhAu2, optimized geometry, DFT PBE-GGA; DFT formation energy = -45 meV per atom; symmetry = No. 1; E above lowest polymorph = 82 meV per atom
1.0
3.299 0.000 0.000
-1.631 4.071 0.000
-1.627 -1.523 6.658
As P Rh Au
1 1 1 2
Direct
0.000 0.000 0.000 As
0.576 0.512 0.618 P
0.196 0.521 0.854 Rh
0.753 0.021 0.472 Au
0.876 0.524 0.213 Au

---

Record 16
CuGePbSe3, optimized geometry, DFT PBE-GGA; symmetry = No. 11; ΔE_f (raw) = -272 meV per atom
1.0
8.444 0.000 0.000
0.000 3.982 0.000
-2.244 0.000 8.588
Cu Ge Pb Se
2 2 2 6
Direct
0.078 0.250 0.065 Cu
0.922 0.750 0.935 Cu
0.341 0.750 0.357 Ge
0.659 0.250 0.643 Ge
0.179 0.250 0.718 Pb
0.821 0.750 0.282 Pb
0.112 0.250 0.360 Se
0.230 0.750 0.028 Se
0.444 0.750 0.666 Se
0.556 0.250 0.334 Se
0.770 0.250 0.972 Se
0.888 0.750 0.640 Se

---

Record 17
Rb2PdSe2, optimized geometry, DFT PBE-GGA; symmetry = No. 127; ΔE_f (raw) = -594 meV per atom
1.0
7.140 0.000 0.000
0.000 7.140 0.000
0.000 0.000 5.501
Rb Pd Se
4 2 4
Direct
0.162 0.338 0.000 Rb
0.338 0.838 0.000 Rb
0.662 0.162 0.000 Rb
0.838 0.662 0.000 Rb
0.000 0.000 0.500 Pd
0.500 0.500 0.500 Pd
0.162 0.662 0.500 Se
0.338 0.162 0.500 Se
0.662 0.838 0.500 Se
0.838 0.338 0.500 Se

---

Record 18
ZrUAu2, optimized geometry, DFT PBE-GGA; DFT formation energy = -259 meV per atom; symmetry = No. 123
1.0
3.100 0.000 0.000
0.000 3.100 0.000
0.000 0.000 8.648
Zr U Au
1 1 2
Direct
0.000 0.000 0.000 Zr
0.000 0.000 0.500 U
0.500 0.500 0.237 Au
0.500 0.500 0.763 Au

---

Record 19
MgTl2Re, optimized geometry, DFT PBE-GGA; DFT formation energy = 742 meV per atom; symmetry = No. 47; E above lowest polymorph = 154 meV per atom
1.0
3.039 0.000 0.000
0.000 4.988 0.000
0.000 0.000 5.571
Mg Tl Re
1 2 1
Direct
0.000 0.000 0.000 Mg
0.000 0.500 0.500 Tl
0.500 0.500 0.000 Tl
0.500 0.000 0.500 Re

---

Record 20
Zr2Zn6Rh, optimized geometry, DFT PBE-GGA; DFT formation energy = -295 meV per atom; symmetry = No. 164
1.0
5.527 0.000 0.000
-2.763 4.786 0.000
0.000 0.000 5.559
Zr Zn Rh
2 6 1
Direct
0.333 0.667 0.144 Zr
0.667 0.333 0.856 Zr
0.179 0.358 0.672 Zn
0.179 0.821 0.672 Zn
0.358 0.179 0.328 Zn
0.642 0.821 0.672 Zn
0.821 0.179 0.328 Zn
0.821 0.642 0.328 Zn
0.000 0.000 0.000 Rh

---

Record 21
CaCo, optimized geometry, DFT PBE-GGA; DFT formation energy = 627 meV per atom; symmetry = No. 198
1.0
5.510 0.000 0.000
0.000 5.510 0.000
0.000 0.000 5.510
Ca Co
4 4
Direct
0.087 0.413 0.587 Ca
0.413 0.587 0.087 Ca
0.587 0.087 0.413 Ca
0.913 0.913 0.913 Ca
0.101 0.899 0.399 Co
0.399 0.101 0.899 Co
0.601 0.601 0.601 Co
0.899 0.399 0.101 Co

---

Record 22
Nd5CdSi2, optimized geometry, DFT PBE-GGA; symmetry = No. 140; ΔE_f (raw) = -464 meV per atom
1.0
-3.899 3.899 7.529
3.899 -3.899 7.529
3.899 3.899 -7.529
Nd Cd Si
10 2 4
Direct
0.000 0.000 0.000 Nd
0.038 0.538 0.851 Nd
0.186 0.038 0.500 Nd
0.314 0.814 0.851 Nd
0.462 0.314 0.500 Nd
0.500 0.500 0.000 Nd
0.538 0.686 0.500 Nd
0.686 0.186 0.149 Nd
0.814 0.962 0.500 Nd
0.962 0.462 0.149 Nd
0.250 0.250 0.000 Cd
0.750 0.750 0.000 Cd
0.116 0.384 0.500 Si
0.384 0.884 0.269 Si
0.616 0.116 0.731 Si
0.884 0.616 0.500 Si

---

Record 23
Zr4Zn2Cu, optimized geometry, DFT PBE-GGA; DFT formation energy = -23 meV per atom; symmetry = No. 139
1.0
-3.267 3.267 3.306
3.267 -3.267 3.306
3.267 3.267 -3.306
Zr Zn Cu
4 2 1
Direct
0.000 0.000 0.500 Zr
0.000 0.500 0.000 Zr
0.500 0.000 0.000 Zr
0.500 0.500 0.500 Zr
0.000 0.500 0.500 Zn
0.500 0.000 0.500 Zn
0.000 0.000 0.000 Cu

---

Record 24
Hg2GeO2, optimized geometry, DFT PBE-GGA; symmetry = No. 70; ΔE_f (raw) = -262 meV per atom
1.0
0.000 5.749 11.348
4.621 0.000 11.348
4.621 5.749 0.000
Hg Ge O
8 4 8
Direct
0.133 0.715 0.291 Hg
0.285 0.867 0.639 Hg
0.291 0.361 0.133 Hg
0.361 0.291 0.715 Hg
0.639 0.709 0.285 Hg
0.709 0.639 0.867 Hg
0.715 0.133 0.361 Hg
0.867 0.285 0.709 Hg
0.000 0.500 0.500 Ge
0.500 0.000 0.500 Ge
0.500 0.500 0.000 Ge
0.500 0.500 0.500 Ge
0.027 0.357 0.430 O
0.314 0.570 0.643 O
0.357 0.027 0.686 O
0.430 0.686 0.027 O
0.570 0.314 0.973 O
0.643 0.973 0.314 O
0.686 0.430 0.357 O
0.973 0.643 0.570 O

---

Record 25
Ce3TcI3, optimized geometry, DFT PBE-GGA; symmetry = No. 11; ΔE_f (raw) = -830 meV per atom
1.0
9.352 0.000 0.000
0.000 4.248 0.000
-0.542 0.000 12.279
Ce Tc I
6 2 6
Direct
0.096 0.250 0.392 Ce
0.118 0.250 0.832 Ce
0.316 0.750 0.624 Ce
0.684 0.250 0.376 Ce
0.882 0.750 0.168 Ce
0.904 0.750 0.608 Ce
0.114 0.250 0.637 Tc
0.886 0.750 0.363 Tc
0.137 0.250 0.118 I
0.373 0.750 0.882 I
0.390 0.750 0.365 I
0.610 0.250 0.635 I
0.627 0.250 0.118 I
0.863 0.750 0.882 I

---

no.,spin magnetization (μB per cell),ρ (g/cm3)
1,0.0,16.71
2,0.8,3.72
3,0.0,8.98
4,3.7,13.48
5,0.0,9.09
6,0.0,5.86
7,0.0,1.79
8,0.0,5.68
9,0.0,8.39
10,0.0,2.84
11,2.8,7.29
12,0.0,10.47
13,0.0,5.39
14,0.4,14.24
15,0.0,11.19
16,0.0,6.67
17,0.0,5.15
18,2.6,14.45
19,0.0,12.18
20,0.0,7.66
21,4.7,3.93
22,0.0,6.46
23,0.0,6.58
24,0.0,5.57
25,5.4,6.12